[1]
A relaxed structure of RbCd3Te. Source: the Alexandria database, functional GGA-PBE.

a = 5.9929 Å, b = 5.9929 Å, c = 5.9929 Å
α = 90.00°, β = 90.00°, γ = 90.00°
Sites, in units of the cell vectors:
Rb (0.0000, 0.0000, 0.0000)
Cd (0.0000, 0.5000, 0.5000)
Cd (0.5000, 0.0000, 0.5000)
Cd (0.5000, 0.5000, 0.0000)
Te (0.5000, 0.5000, 0.5000)

Computed properties:
Final energy, eV per atom: -1.23
Space-group type: Pm-3m
Relative energy among the computed polymorphs, meV/atom: 0
Formation energy from raw total energies, meV per atom: 137
Calculated density, g/cm³: 4.25

[2]
A relaxed structure of Tm4CuAg3. Source: the Alexandria database, functional GGA-PBE.

a = 3.5387 Å, b = 3.5387 Å, c = 14.2773 Å
α = 90.00°, β = 90.00°, γ = 90.00°
Sites, in units of the cell vectors:
Tm (0.0000, 0.0000, 0.1156)
Tm (0.0000, 0.0000, 0.3719)
Tm (0.0000, 0.0000, 0.6281)
Tm (0.0000, 0.0000, 0.8844)
Cu (0.5000, 0.5000, 0.0000)
Ag (0.5000, 0.5000, 0.2449)
Ag (0.5000, 0.5000, 0.5000)
Ag (0.5000, 0.5000, 0.7551)

Computed properties:
Calculated formation energy, eV per atom: -0.32
Final energy, eV per atom: -4.14
Space-group type: P4/mmm
Calculated density, g/cm³: 9.87

[3]
A relaxed structure of ScZnTe2. Source: the Alexandria database, functional GGA-PBE.

a = 5.0272 Å, b = 5.0272 Å, c = 3.7249 Å
α = 90.00°, β = 90.00°, γ = 90.00°
Sites, in units of the cell vectors:
Sc (0.0000, 0.0000, 0.0000)
Zn (0.5000, 0.5000, 0.0000)
Te (0.0000, 0.5000, 0.5000)
Te (0.5000, 0.0000, 0.5000)

Computed properties:
Final energy, eV per atom: -3.88
Space-group type: P4/mmm
Formation energy from raw total energies, meV per atom: -410
Calculated density, g/cm³: 6.45

[4]
A relaxed structure of Be3TlC. Source: the Alexandria database, functional GGA-PBE.

a = 3.8313 Å, b = 3.8313 Å, c = 3.8313 Å
α = 90.00°, β = 90.00°, γ = 90.00°
Sites, in units of the cell vectors:
Be (0.0000, 0.0000, 0.5000)
Be (0.0000, 0.5000, 0.0000)
Be (0.5000, 0.0000, 0.0000)
Tl (0.5000, 0.5000, 0.5000)
C (0.0000, 0.0000, 0.0000)

Computed properties:
Calculated formation energy, eV per atom: 0.62
Final energy, eV per atom: -3.93
Space-group type: Pm-3m
Relative energy among the computed polymorphs, meV/atom: 0
Calculated density, g/cm³: 7.19